Record 1
Here is crystalline ErIn3Ni2 at its relaxed geometry from Alexandria. Energies are from PBE.

a = 18.181 Å, b = 4.383 Å, c = 10.311 Å
α = 90.00°, β = 119.05°, γ = 90.00°
Space group C2/m (No. 12)
Unique sites:
Er 0.000 0.000 0.000
Er 0.170 0.000 0.677
In 0.000 0.500 0.500
In 0.019 0.000 0.321
In 0.128 0.500 0.165
In 0.179 0.500 0.933
In 0.209 0.000 0.390
Ni 0.020 0.500 0.842
Ni 0.123 0.500 0.432
Ni 0.201 0.000 0.130


Record 2
Here is crystalline Er2InNi2 at its relaxed geometry from Alexandria. Energies are from PBE.

a = 7.349 Å, b = 7.349 Å, c = 3.629 Å
α = 90.00°, β = 90.00°, γ = 90.00°
Space group P4/mbm (No. 127)
Unique sites:
Er 0.175 0.325 0.000
In 0.000 0.000 0.500
Ni 0.120 0.620 0.500


Record 3
Here is crystalline Er5In4Ni2 at its relaxed geometry from Alexandria. Energies are from PBE.

a = 7.921 Å, b = 17.829 Å, c = 3.589 Å
α = 90.00°, β = 90.00°, γ = 90.00°
Space group Pbam (No. 55)
Unique sites:
Er 0.000 0.000 0.000
Er 0.116 0.412 0.000
Er 0.249 0.221 0.000
In 0.072 0.848 0.500
In 0.206 0.569 0.500
Ni 0.029 0.304 0.500


Record 4
Here is crystalline Er2InNi at its relaxed geometry from Alexandria. Energies are from PBE.

a = 3.3539 Å, b = 3.3539 Å, c = 30.4680 Å
α = 90.00°, β = 90.00°, γ = 120.00°
Space group R-3m (No. 166, hexagonal axes)
Unique sites:
Er 0.0000 0.0000 0.0819
In 0.0000 0.0000 0.5000
Ni 0.0000 0.0000 0.0000


Record 5
Here is crystalline ErIn2Ni at its relaxed geometry from Alexandria. Energies are from PBE.

a = 4.265 Å, b = 4.265 Å, c = 4.634 Å
α = 90.00°, β = 90.00°, γ = 90.00°
Space group P4/mmm (No. 123)
Unique sites:
Er 0.000 0.000 0.000
In 0.000 0.500 0.500
Ni 0.500 0.500 0.000


Record 6
Here is crystalline Er3In4Ni4 at its relaxed geometry from Alexandria. Energies are from PBE.

a = 3.709 Å, b = 7.848 Å, c = 14.902 Å
α = 90.00°, β = 90.00°, γ = 90.00°
Space group Immm (No. 71)
Unique sites:
Er 0.000 0.000 0.000
Er 0.000 0.500 0.111
In 0.000 0.307 0.333
Ni 0.000 0.000 0.241
Ni 0.000 0.188 0.500


Number 1: energy relative to the elements -0.2271 eV/atom, V 119.7 Å³/f.u., raw total energy -4.28 eV per atom. Number 2: energy relative to the elements -0.5286 eV/atom, V 98.0 Å³/f.u., raw total energy -5.21 eV per atom. Number 3: energy relative to the elements -0.5275 eV/atom, V 253.4 Å³/f.u., raw total energy -4.65 eV per atom. Number 4: energy relative to the elements 0.2488 eV/atom, V 98.9 Å³/f.u., raw total energy -4.16 eV per atom. Number 5: energy relative to the elements -0.2113 eV/atom, V 84.3 Å³/f.u., raw total energy -4.17 eV per atom. Number 6: energy relative to the elements -0.3806 eV/atom, V 216.9 Å³/f.u., raw total energy -4.72 eV per atom.